The following is a DFT calculation (GGA-PBE) of a relaxed CaPdS crystal.

Output
Formation energy from raw total energies   -0.7318 eV/atom
DOS(E_F)   4.575 states/eV/cell
E   -4.51 eV/atom

a = 4.6718 Å, b = 4.6718 Å, c = 6.7624 Å
α = 109.96°, β = 110.42°, γ = 90.05°
Element x y z (fractional)
S1 0.0000 0.0000 0.5000
S2 0.5000 0.5000 0.5000
Ca1 0.8566 0.3590 0.2156
Ca2 0.1434 0.6410 0.7844
Pd1 0.3863 0.8885 0.2748
Pd2 0.6137 0.1115 0.7252